VASP calculation (PBE+U) on a geometry-optimized TlNi2IO structure.

Crystal system = tetragonal
Total DFT energy (no corrections) = -10.58 eV for the cell shown
DOS at the Fermi energy = 0.361 states/eV per atom
Calculated density = 6.67 Mg/m³

```
TlNi2IO
1.0
5.217 0.000 0.000
0.000 5.217 0.000
0.000 0.000 4.248
Tl Ni I O
1 2 1 1
Direct
0.000 0.000 0.000 Tl
0.000 0.500 0.000 Ni
0.500 0.000 0.000 Ni
0.500 0.500 0.500 I
0.000 0.000 0.500 O
```